## 1
The following is a GGA-PBE calculation of a relaxed structure of Ca2Ag2Hg, from Alexandria.

Computed properties:
ρ in Mg/m³: 5.93
Space-group type: No. 139
Size of the total moment in μB per atom: 0.00
Crystal system: tetragonal
N(E_F) in states/eV/f.u.: 2.99

Cell lengths 5.818, 5.818, 5.813 Å; angles 59.98, 59.98, 90.00 degrees
Atoms (fractional coordinates):
Ag 0.341 0.341 0.317
Hg 0.000 0.000 0.000
Ag 0.659 0.659 0.683
Ca 0.250 0.750 0.500
Ca 0.750 0.250 0.500

---

## 2
The following is a GGA-PBE calculation of a relaxed structure of Ca2Ag2Hg, from Alexandria.

Computed properties:
ρ in Mg/m³: 6.42
Space-group type: No. 127
Size of the total moment in μB per atom: 0.00
Crystal system: tetragonal
N(E_F) in states/eV/f.u.: 3.23

Cell lengths 7.836, 7.836, 4.183 Å; angles 90.00, 90.00, 90.00 degrees
Atoms (fractional coordinates):
Ca 0.825 0.325 0.500
Ag 0.874 0.626 0.000
Ag 0.626 0.126 0.000
Ca 0.675 0.825 0.500
Ca 0.175 0.675 0.500
Ag 0.126 0.374 0.000
Ag 0.374 0.874 0.000
Ca 0.325 0.175 0.500
Hg 0.500 0.500 0.000
Hg 0.000 0.000 0.000

---

2 has the most favorable energy; the next structure is 0.153 eV/atom above.

---

## 1
The following is a GGA-PBE calculation of a relaxed structure of Ca2Ag2Hg, from Alexandria.

Computed properties:
ρ in Mg/m³: 6.01
Space-group type: No. 127
Size of the total moment in μB per atom: 0.00
Crystal system: tetragonal
N(E_F) in states/eV/f.u.: 3.15

Cell lengths 8.474, 8.474, 3.818 Å; angles 90.00, 90.00, 90.00 degrees
Atoms (fractional coordinates):
Hg 0.000 0.000 0.000
Ca 0.831 0.669 0.000
Ag 0.378 0.122 0.500
Ca 0.169 0.331 0.000
Ag 0.122 0.622 0.500
Hg 0.500 0.500 0.000
Ag 0.622 0.878 0.500
Ca 0.331 0.831 0.000
Ca 0.669 0.169 0.000
Ag 0.878 0.378 0.500

---

## 2
The following is a GGA-PBE calculation of a relaxed structure of Ca2Ag2Hg, from Alexandria.

Computed properties:
ρ in Mg/m³: 6.28
Space-group type: No. 12
Size of the total moment in μB per atom: 0.00
Crystal system: monoclinic
N(E_F) in states/eV/f.u.: 2.95

Cell lengths 4.561, 6.137, 10.402 Å; angles 80.43, 77.33, 68.18 degrees
Atoms (fractional coordinates):
Hg 0.212 0.909 0.667
Ag 0.134 0.292 0.440
Ca 0.687 0.735 0.891
Ag 0.036 0.822 0.107
Ag 0.866 0.708 0.560
Ag 0.964 0.178 0.893
Ca 0.313 0.265 0.109
Ca 0.506 0.321 0.667
Ca 0.494 0.679 0.333
Hg 0.788 0.091 0.333

---

2 has the most favorable energy; the next structure is 0.121 eV/atom above.